Entry from the Alexandria database: a geometry-optimized ZnH structure (PBE).

As for the total energy: -1.83 eV/atom. As for the volume: 35.7 Å³/f.u.

The structure belongs to space group I-43m (No. 217); the cell edges are 6.583, 6.583 and 6.583 Å and the angles 90.00°, 90.00° and 90.00°. The asymmetric unit holds Zn at (0.139, 0.139, 0.861) and H at (0.218, 0.218, 0.218).